1.
DFT (PBE) results for an optimized crystal structure of Ac3PtAuN.

Magnetization: 0.000 Bohr magnetons per cell
E_form (uncorrected): -0.99 eV per atom
Final energy: -5.981 eV/atom
Space-group type: No. 11
D(E_F): 3.0 states/eV/f.u.
Crystal system: monoclinic

Cell: 9.2193 4.3639 9.6931 Å, 90.00 100.05 90.00°
Fractional positions:
Ac 0.0763 0.2500 0.3406
Ac 0.3274 0.2500 0.9823
Ac 0.3872 0.7500 0.6503
Ac 0.6128 0.2500 0.3497
Ac 0.6726 0.7500 0.0177
Ac 0.9237 0.7500 0.6594
Pt 0.1503 0.2500 0.6507
Pt 0.8497 0.7500 0.3493
Au 0.3270 0.7500 0.2895
Au 0.6730 0.2500 0.7105
N 0.4161 0.7500 0.8958
N 0.5839 0.2500 0.1042

***

2.
DFT (PBE) results for an optimized crystal structure of MnBe2As.

Magnetization: 7.513 Bohr magnetons per cell
Formation energy: 1.4 eV per formula unit
Final energy: -4.971 eV/atom
Space-group type: No. 216
D(E_F): 2.0 states/eV/f.u.
Crystal system: cubic

Cell: 5.6390 5.6390 5.6390 Å, 90.00 90.00 90.00°
Fractional positions:
Mn 0.0000 0.0000 0.0000
Mn 0.0000 0.5000 0.5000
Mn 0.5000 0.0000 0.5000
Mn 0.5000 0.5000 0.0000
Be 0.0000 0.0000 0.5000
Be 0.0000 0.5000 0.0000
Be 0.2500 0.2500 0.2500
Be 0.2500 0.7500 0.7500
Be 0.5000 0.0000 0.0000
Be 0.5000 0.5000 0.5000
Be 0.7500 0.2500 0.7500
Be 0.7500 0.7500 0.2500
As 0.2500 0.2500 0.7500
As 0.2500 0.7500 0.2500
As 0.7500 0.2500 0.2500
As 0.7500 0.7500 0.7500

***

3.
DFT (PBE) results for an optimized crystal structure of NdSm2InN.

Magnetization: 0.000 Bohr magnetons per cell
E_form (uncorrected): -0.89 eV per atom
Final energy: -5.949 eV/atom
Space-group type: No. 123
D(E_F): 2.6 states/eV/f.u.
Crystal system: tetragonal

Cell: 4.9645 4.9645 5.0350 Å, 90.00 90.00 90.00°
Fractional positions:
Nd 0.0000 0.0000 0.0000
Sm 0.0000 0.5000 0.5000
Sm 0.5000 0.0000 0.5000
In 0.5000 0.5000 0.0000
N 0.0000 0.0000 0.5000

***

4.
DFT (PBE) results for an optimized crystal structure of NpAlCo4.

Magnetization: 0.365 Bohr magnetons per cell
Formation energy: -1.0 eV per formula unit
Final energy: -7.688 eV/atom
Space-group type: No. 216
D(E_F): 8.6 states/eV/f.u.
Crystal system: cubic

Cell: 4.8503 4.8503 4.8503 Å, 60.00 60.00 60.00°
Fractional positions:
Np 0.0000 0.0000 0.0000
Al 0.7500 0.7500 0.7500
Co 0.3767 0.3767 0.3767
Co 0.3767 0.3767 0.8698
Co 0.3767 0.8698 0.3767
Co 0.8698 0.3767 0.3767

***

5.
DFT (PBE) results for an optimized crystal structure of TcIrRuN2.

Magnetization: 0.000 Bohr magnetons per cell
E_form (uncorrected): 1.51 eV per atom
Final energy: -7.522 eV/atom
Space-group type: No. 123
D(E_F): 4.7 states/eV/f.u.
Relative energy among the computed polymorphs: 0.0 meV/atom
Crystal system: tetragonal

Cell: 3.6730 3.6730 5.6004 Å, 90.00 90.00 90.00°
Fractional positions:
Tc 0.0000 0.0000 0.0000
Ir 0.5000 0.5000 0.0000
Ru 0.0000 0.0000 0.5000
N 0.0000 0.5000 0.5000
N 0.5000 0.0000 0.5000

***

6.
DFT (PBE) results for an optimized crystal structure of Cd2TeAu.

Magnetization: 0.000 Bohr magnetons per cell
E_form (uncorrected): 0.02 eV per atom
Final energy: -2.041 eV/atom
Space-group type: No. 47
D(E_F): 1.3 states/eV/f.u.
Crystal system: orthorhombic

Cell: 4.0002 4.3018 5.6758 Å, 90.00 90.00 90.00°
Fractional positions:
Cd 0.0000 0.0000 0.0000
Cd 0.0000 0.5000 0.5000
Te 0.5000 0.0000 0.5000
Au 0.5000 0.5000 0.0000

***

7.
DFT (PBE) results for an optimized crystal structure of KBa2Zr.

Magnetization: 4.973 Bohr magnetons per cell
Formation energy: 2.6 eV per formula unit
Final energy: -2.711 eV/atom
Space-group type: No. 12
D(E_F): 6.3 states/eV/f.u.
Relative energy among the computed polymorphs: 205.9 meV/atom
Crystal system: monoclinic

Cell: 12.2987 3.8201 8.0487 Å, 90.00 95.86 90.00°
Fractional positions:
K 0.0000 0.0000 0.0000
K 0.5000 0.5000 0.0000
Ba 0.2396 0.0000 0.7178
Ba 0.2604 0.5000 0.2822
Ba 0.7396 0.5000 0.7178
Ba 0.7604 0.0000 0.2822
Zr 0.0000 0.5000 0.5000
Zr 0.5000 0.0000 0.5000

***

8.
DFT (PBE) results for an optimized crystal structure of CdPt2F.

Magnetization: 0.000 Bohr magnetons per cell
E_form (uncorrected): -0.36 eV per atom
Final energy: -4.075 eV/atom
Space-group type: No. 122
D(E_F): 3.8 states/eV/f.u.
Relative energy among the computed polymorphs: 0.0 meV/atom
Crystal system: tetragonal

Cell: 3.6439 3.6439 20.9287 Å, 90.00 90.00 90.00°
Fractional positions:
Cd 0.0000 0.0000 0.0000
Cd 0.0000 0.5000 0.2500
Cd 0.5000 0.0000 0.7500
Cd 0.5000 0.5000 0.5000
Pt 0.2483 0.2500 0.6250
Pt 0.2500 0.7483 0.8750
Pt 0.2500 0.7517 0.3750
Pt 0.2517 0.2500 0.1250
Pt 0.7483 0.7500 0.1250
Pt 0.7500 0.2483 0.3750
Pt 0.7500 0.2517 0.8750
Pt 0.7517 0.7500 0.6250
F 0.0000 0.0000 0.5000
F 0.0000 0.5000 0.7500
F 0.5000 0.0000 0.2500
F 0.5000 0.5000 0.0000

***

9.
DFT (PBE) results for an optimized crystal structure of Sn2IBrCl.

Magnetization: 0.000 Bohr magnetons per cell
E_form (uncorrected): 0.21 eV per atom
Final energy: -2.403 eV/atom
Space-group type: No. 123
D(E_F): 3.7 states/eV/f.u.
Crystal system: tetragonal

Cell: 5.5569 5.5569 6.0321 Å, 90.00 90.00 90.00°
Fractional positions:
Sn 0.0000 0.5000 0.0000
Sn 0.5000 0.0000 0.0000
I 0.0000 0.0000 0.5000
Br 0.5000 0.5000 0.5000
Cl 0.0000 0.0000 0.0000

***

10.
DFT (PBE) results for an optimized crystal structure of Nd3YIn12.

Magnetization: 0.000 Bohr magnetons per cell
Formation energy: -7.3 eV per formula unit
Final energy: -3.806 eV/atom
Space-group type: No. 123
D(E_F): 10.2 states/eV/f.u.
Crystal system: tetragonal

Cell: 4.6971 4.6971 18.8508 Å, 90.00 90.00 90.00°
Fractional positions:
Nd 0.0000 0.0000 0.0000
Nd 0.0000 0.0000 0.2522
Nd 0.0000 0.0000 0.7478
Y 0.0000 0.0000 0.5000
In 0.0000 0.5000 0.1260
In 0.0000 0.5000 0.3779
In 0.0000 0.5000 0.6221
In 0.0000 0.5000 0.8740
In 0.5000 0.0000 0.1260
In 0.5000 0.0000 0.3779
In 0.5000 0.0000 0.6221
In 0.5000 0.0000 0.8740
In 0.5000 0.5000 0.0000
In 0.5000 0.5000 0.2509
In 0.5000 0.5000 0.5000
In 0.5000 0.5000 0.7491

***

11.
DFT (PBE) results for an optimized crystal structure of Fe3PdPt3.

Magnetization: 42.105 Bohr magnetons per cell
Formation energy: 0.1 eV per formula unit
Final energy: -6.950 eV/atom
Space-group type: No. 62
D(E_F): 5.6 states/eV/f.u.
Crystal system: orthorhombic

Cell: 9.8069 4.1289 10.4353 Å, 90.00 90.00 90.00°
Fractional positions:
Fe 0.0457 0.2500 0.1871
Fe 0.1738 0.7500 0.5492
Fe 0.2065 0.7500 0.7883
Fe 0.2935 0.2500 0.2883
Fe 0.3262 0.2500 0.0492
Fe 0.4543 0.7500 0.6871
Fe 0.5457 0.2500 0.3129
Fe 0.6738 0.7500 0.9508
Fe 0.7065 0.7500 0.7117
Fe 0.7935 0.2500 0.2117
Fe 0.8262 0.2500 0.4508
Fe 0.9543 0.7500 0.8129
Pd 0.0418 0.2500 0.6918
Pd 0.4582 0.7500 0.1918
Pd 0.5418 0.2500 0.8082
Pd 0.9582 0.7500 0.3082
Pt 0.0900 0.2500 0.9438
Pt 0.0920 0.2500 0.4352
Pt 0.1884 0.7500 0.1205
Pt 0.3116 0.2500 0.6205
Pt 0.4080 0.7500 0.9352
Pt 0.4100 0.7500 0.4438
Pt 0.5900 0.2500 0.5562
Pt 0.5920 0.2500 0.0648
Pt 0.6884 0.7500 0.3795
Pt 0.8116 0.2500 0.8795
Pt 0.9080 0.7500 0.5648
Pt 0.9100 0.7500 0.0562

***

12.
DFT (PBE) results for an optimized crystal structure of CeSnPt2.

Magnetization: 0.511 Bohr magnetons per cell
Formation energy: -3.0 eV per formula unit
Final energy: -6.244 eV/atom
Space-group type: No. 123
D(E_F): 5.5 states/eV/f.u.
Crystal system: tetragonal

Cell: 4.7591 4.7591 3.6962 Å, 90.00 90.00 90.00°
Fractional positions:
Ce 0.0000 0.0000 0.0000
Sn 0.5000 0.5000 0.0000
Pt 0.0000 0.5000 0.5000
Pt 0.5000 0.0000 0.5000

***

Q: Number 2 is which compound?
A: MnBe2As